Record 1
Li3SmBi2 after structural relaxation. Source: OQMD, functional PBE.

magnetization = 0.0 μB/f.u.
total DFT energy (no corrections) = -3.784 eV per atom

```
data_Li3SmBi2
_cell_length_a 4.6520
_cell_length_b 4.6520
_cell_length_c 7.3378
_cell_angle_alpha 90.00
_cell_angle_beta 90.00
_cell_angle_gamma 120.00
_space_group_name_H-M_alt 'P -3 m 1'
_space_group_IT_number 164
_space_group_name_Hall '-P 3 2"'
loop_
_atom_site_label
_atom_site_type_symbol
_atom_site_fract_x
_atom_site_fract_y
_atom_site_fract_z
Li1 Li 0.0000 0.0000 0.0000
Li2 Li 0.3333 0.6667 0.8494
Sm1 Sm 0.0000 0.0000 0.5000
Bi1 Bi 0.3333 0.6667 0.2479
```

***

Record 2
LiSmBi2 after structural relaxation. Source: OQMD, functional PBE.

magnetization = 0.0 μB/f.u.
total DFT energy (no corrections) = -4.349 eV per atom

```
data_LiSmBi2
_cell_length_a 4.518
_cell_length_b 4.518
_cell_length_c 10.513
_cell_angle_alpha 90.00
_cell_angle_beta 90.00
_cell_angle_gamma 90.00
_space_group_name_H-M_alt 'P 4/n m m'
_space_group_IT_number 129
loop_
_space_group_symop_operation_xyz
'x,y,z'
'-x,-y,-z'
'-y+1/2,x,z'
'y+1/2,-x,-z'
'-x+1/2,-y+1/2,z'
'x+1/2,y+1/2,-z'
'y,-x+1/2,z'
'-y,x+1/2,-z'
'x+1/2,-y,-z'
'-x+1/2,y,z'
'-y,-x,-z'
'y,x,z'
'-x,y+1/2,-z'
'x,-y+1/2,z'
'y+1/2,x+1/2,-z'
'-y+1/2,-x+1/2,z'
loop_
_atom_site_label
_atom_site_type_symbol
_atom_site_fract_x
_atom_site_fract_y
_atom_site_fract_z
Li1 Li 0.250 0.750 0.000
Sm1 Sm 0.250 0.250 0.258
Bi1 Bi 0.250 0.250 0.833
Bi2 Bi 0.250 0.750 0.500
```

***

Record 3
LiTaBi after structural relaxation. Source: OQMD, functional PBE.

magnetization = 2.4 μB/f.u.
polymorph energy (0 for the lowest one) = 0 kJ/mol of formula units

```
data_LiTaBi
_cell_length_a 6.340
_cell_length_b 6.340
_cell_length_c 6.340
_cell_angle_alpha 90.00
_cell_angle_beta 90.00
_cell_angle_gamma 90.00
_space_group_name_H-M_alt 'F -4 3 m'
_space_group_IT_number 216
_space_group_name_Hall 'F -4 2 3'
loop_
_atom_site_label
_atom_site_type_symbol
_atom_site_fract_x
_atom_site_fract_y
_atom_site_fract_z
Li1 Li 0.000 0.000 0.000
Ta1 Ta 0.250 0.250 0.250
Bi1 Bi 0.250 0.250 0.750
```

***

Record 4
LiTaBi after structural relaxation. Source: OQMD, functional PBE.

magnetization = 1.8 μB/f.u.
polymorph energy (0 for the lowest one) = 5 kJ/mol of formula units

```
data_LiTaBi
_cell_length_a 6.669
_cell_length_b 6.669
_cell_length_c 6.669
_cell_angle_alpha 90.00
_cell_angle_beta 90.00
_cell_angle_gamma 90.00
_space_group_name_H-M_alt 'F -4 3 m'
_space_group_IT_number 216
_space_group_name_Hall 'F -4 2 3'
loop_
_atom_site_label
_atom_site_type_symbol
_atom_site_fract_x
_atom_site_fract_y
_atom_site_fract_z
Li1 Li 0.000 0.000 0.000
Ta1 Ta 0.250 0.250 0.750
Bi1 Bi 0.000 0.000 0.500
```

***

Record 5
Li2TaBi after structural relaxation. Source: OQMD, functional PBE.

magnetization = 2.0 μB/f.u.
total DFT energy (no corrections) = -4.523 eV per atom

```
data_Li2TaBi
_cell_length_a 6.750
_cell_length_b 6.750
_cell_length_c 6.750
_cell_angle_alpha 90.00
_cell_angle_beta 90.00
_cell_angle_gamma 90.00
_space_group_name_H-M_alt 'F -4 3 m'
_space_group_IT_number 216
_space_group_name_Hall 'F -4 2 3'
loop_
_atom_site_label
_atom_site_type_symbol
_atom_site_fract_x
_atom_site_fract_y
_atom_site_fract_z
Li1 Li 0.000 0.000 0.000
Li2 Li 0.250 0.250 0.250
Ta1 Ta 0.250 0.250 0.750
Bi1 Bi 0.000 0.000 0.500
```

***

Record 6
LiTaTcBi after structural relaxation. Source: OQMD, functional PBE.

magnetization = 0.0 μB/f.u.
polymorph energy (0 for the lowest one) = 0 kJ/mol of formula units

```
data_LiTaTcBi
_cell_length_a 6.489
_cell_length_b 6.489
_cell_length_c 6.489
_cell_angle_alpha 90.00
_cell_angle_beta 90.00
_cell_angle_gamma 90.00
_space_group_name_H-M_alt 'F -4 3 m'
_space_group_IT_number 216
_space_group_name_Hall 'F -4 2 3'
loop_
_atom_site_label
_atom_site_type_symbol
_atom_site_fract_x
_atom_site_fract_y
_atom_site_fract_z
Li1 Li 0.000 0.000 0.000
Ta1 Ta 0.250 0.250 0.750
Tc1 Tc 0.000 0.000 0.500
Bi1 Bi 0.250 0.250 0.250
```

***

Record 7
LiTaTcBi after structural relaxation. Source: OQMD, functional PBE.

magnetization = 0.0 μB/f.u.
polymorph energy (0 for the lowest one) = 232 kJ/mol of formula units

```
data_LiTaTcBi
_cell_length_a 6.534
_cell_length_b 6.534
_cell_length_c 6.534
_cell_angle_alpha 90.00
_cell_angle_beta 90.00
_cell_angle_gamma 90.00
_space_group_name_H-M_alt 'F -4 3 m'
_space_group_IT_number 216
_space_group_name_Hall 'F -4 2 3'
loop_
_atom_site_label
_atom_site_type_symbol
_atom_site_fract_x
_atom_site_fract_y
_atom_site_fract_z
Li1 Li 0.000 0.000 0.000
Ta1 Ta 0.250 0.250 0.750
Tc1 Tc 0.250 0.250 0.250
Bi1 Bi 0.000 0.000 0.500
```

***

Record 8
LiTaTcBi after structural relaxation. Source: OQMD, functional PBE.

magnetization = 0.0 μB/f.u.
polymorph energy (0 for the lowest one) = 94 kJ/mol of formula units

```
data_LiTaTcBi
_cell_length_a 6.553
_cell_length_b 6.553
_cell_length_c 6.553
_cell_angle_alpha 90.00
_cell_angle_beta 90.00
_cell_angle_gamma 90.00
_space_group_name_H-M_alt 'F -4 3 m'
_space_group_IT_number 216
_space_group_name_Hall 'F -4 2 3'
loop_
_atom_site_label
_atom_site_type_symbol
_atom_site_fract_x
_atom_site_fract_y
_atom_site_fract_z
Li1 Li 0.000 0.000 0.000
Ta1 Ta 0.000 0.000 0.500
Tc1 Tc 0.250 0.250 0.250
Bi1 Bi 0.250 0.250 0.750
```

***

Record 9
LiTc2Bi after structural relaxation. Source: OQMD, functional PBE.

magnetization = 0.4 μB/f.u.
total DFT energy (no corrections) = -6.376 eV per atom

```
data_LiTc2Bi
_cell_length_a 6.377
_cell_length_b 6.377
_cell_length_c 6.377
_cell_angle_alpha 90.00
_cell_angle_beta 90.00
_cell_angle_gamma 90.00
_space_group_name_H-M_alt 'F -4 3 m'
_space_group_IT_number 216
_space_group_name_Hall 'F -4 2 3'
loop_
_atom_site_label
_atom_site_type_symbol
_atom_site_fract_x
_atom_site_fract_y
_atom_site_fract_z
Li1 Li 0.000 0.000 0.000
Tc1 Tc 0.000 0.000 0.500
Tc2 Tc 0.250 0.250 0.250
Bi1 Bi 0.250 0.250 0.750
```

***

Record 10
LiTcBi2 after structural relaxation. Source: OQMD, functional PBE.

magnetization = 1.6 μB/f.u.
total DFT energy (no corrections) = -4.466 eV per atom

```
data_LiTcBi2
_cell_length_a 7.072
_cell_length_b 7.072
_cell_length_c 7.072
_cell_angle_alpha 90.00
_cell_angle_beta 90.00
_cell_angle_gamma 90.00
_space_group_name_H-M_alt 'F -4 3 m'
_space_group_IT_number 216
_space_group_name_Hall 'F -4 2 3'
loop_
_atom_site_label
_atom_site_type_symbol
_atom_site_fract_x
_atom_site_fract_y
_atom_site_fract_z
Li1 Li 0.000 0.000 0.000
Tc1 Tc 0.250 0.250 0.750
Bi1 Bi 0.000 0.000 0.500
Bi2 Bi 0.250 0.250 0.250
```

***

Record 11
LiBiTeW after structural relaxation. Source: OQMD, functional PBE.

magnetization = 0.9 μB/f.u.
polymorph energy (0 for the lowest one) = 0 kJ/mol of formula units

```
data_LiBiTeW
_cell_length_a 6.897
_cell_length_b 6.897
_cell_length_c 6.897
_cell_angle_alpha 90.00
_cell_angle_beta 90.00
_cell_angle_gamma 90.00
_space_group_name_H-M_alt 'F -4 3 m'
_space_group_IT_number 216
_space_group_name_Hall 'F -4 2 3'
loop_
_atom_site_label
_atom_site_type_symbol
_atom_site_fract_x
_atom_site_fract_y
_atom_site_fract_z
Li1 Li 0.000 0.000 0.000
Bi1 Bi 0.250 0.250 0.750
Te1 Te 0.250 0.250 0.250
W1 W 0.000 0.000 0.500
```

***

Record 12
LiBiTeW after structural relaxation. Source: OQMD, functional PBE.

magnetization = 1.8 μB/f.u.
polymorph energy (0 for the lowest one) = 198 kJ/mol of formula units

```
data_LiBiTeW
_cell_length_a 7.010
_cell_length_b 7.010
_cell_length_c 7.010
_cell_angle_alpha 90.00
_cell_angle_beta 90.00
_cell_angle_gamma 90.00
_space_group_name_H-M_alt 'F -4 3 m'
_space_group_IT_number 216
_space_group_name_Hall 'F -4 2 3'
loop_
_atom_site_label
_atom_site_type_symbol
_atom_site_fract_x
_atom_site_fract_y
_atom_site_fract_z
Li1 Li 0.000 0.000 0.000
Bi1 Bi 0.250 0.250 0.250
Te1 Te 0.000 0.000 0.500
W1 W 0.250 0.250 0.750
```